Entry 1:
Crystalline CeAgH2Br8 at its relaxed geometry. Source: Alexandria, functional PBE.

a b c (Å): 7.709 7.220 7.704
angles (deg): 73.34 87.55 93.60
Fractional coordinates of all 12 atoms:
Ce 0.000 0.000 0.000
Ag 0.000 0.000 0.500
H 0.349 0.267 0.610
H 0.651 0.733 0.390
Br 0.135 0.772 0.322
Br 0.693 0.768 0.082
Br 0.872 0.234 0.209
Br 0.865 0.228 0.678
Br 0.307 0.232 0.918
Br 0.128 0.766 0.791
Br 0.641 0.726 0.582
Br 0.359 0.274 0.418

Values from the calculation:
Its space group is P-1. The total energy is -3.176 eV/atom.

---

Entry 2:
Crystalline CeAgHgBr6 at its relaxed geometry. Source: Alexandria, functional PBE.

a b c (Å): 7.133 7.133 6.690
angles (deg): 90.05 89.99 60.01
Site moments in Bohr magnetons follow the coordinates.
Fractional coordinates of all 9 atoms:
Ce 0.334 0.333 0.500  -0.72
Ag 0.666 0.667 0.500  0.00
Hg 0.000 0.000 0.000  -0.07
Br 0.999 0.340 0.252  0.00
Br 0.340 0.999 0.748  0.00
Br 0.661 0.340 0.749  0.00
Br 0.999 0.661 0.748  0.00
Br 0.340 0.661 0.251  0.00
Br 0.661 0.999 0.252  0.00

Values from the calculation:
Its space group is C2. The total energy is -3.105 eV/atom. Its uncorrected formation energy is -0.9800 eV/atom.

---

Entry 3:
Crystalline CeInAgBr6 at its relaxed geometry. Source: Alexandria, functional PBE.

a b c (Å): 7.254 7.254 14.302
angles (deg): 90.00 90.00 120.00
Site moments in Bohr magnetons follow the coordinates.
Fractional coordinates of all 18 atoms:
Ce 0.667 0.333 0.250  0.13
Ce 0.333 0.667 0.750  0.13
In 0.000 0.000 0.000  -0.01
In 0.000 0.000 0.500  -0.01
Ag 0.333 0.667 0.250  0.00
Ag 0.667 0.333 0.750  0.00
Br 0.649 0.641 0.135  -0.01
Br 0.992 0.351 0.135  -0.01
Br 0.351 0.992 0.635  -0.01
Br 0.008 0.649 0.865  -0.01
Br 0.359 0.351 0.365  -0.01
Br 0.992 0.641 0.365  -0.01
Br 0.641 0.992 0.865  -0.01
Br 0.649 0.008 0.365  -0.01
Br 0.008 0.359 0.635  -0.01
Br 0.359 0.008 0.135  -0.01
Br 0.641 0.649 0.635  -0.01
Br 0.351 0.359 0.865  -0.01

Values from the calculation:
Its space group is P-31c. The total energy is -3.506 eV/atom. Its uncorrected formation energy is -1.1105 eV/atom.

---

Entry 4:
Crystalline K2CeAgBr6 at its relaxed geometry. Source: Alexandria, functional PBE.

a b c (Å): 7.713 8.141 11.068
angles (deg): 90.00 88.88 90.00
Site moments in Bohr magnetons follow the coordinates.
Fractional coordinates of all 20 atoms:
K 0.028 0.921 0.254  0.00
K 0.528 0.579 0.754  0.00
K 0.972 0.079 0.746  0.00
K 0.472 0.421 0.246  0.00
Ce 0.500 0.000 0.500  0.98
Ce 0.000 0.500 0.000  0.98
Ag 0.500 0.000 0.000  0.00
Ag 0.000 0.500 0.500  0.00
Br 0.305 0.697 0.055  -0.01
Br 0.805 0.803 0.555  -0.01
Br 0.695 0.303 0.945  -0.01
Br 0.195 0.197 0.445  -0.01
Br 0.308 0.700 0.445  -0.01
Br 0.808 0.800 0.945  -0.01
Br 0.692 0.300 0.555  -0.01
Br 0.192 0.200 0.055  -0.01
Br 0.889 0.530 0.253  -0.01
Br 0.389 0.970 0.753  -0.01
Br 0.111 0.470 0.747  -0.01
Br 0.611 0.030 0.247  -0.01

Values from the calculation:
Its space group is P2_1/c. For the energy above the lowest structure with this stoichiometry, the calculation gives 0.00 kcal/mol of atoms. The total energy is -3.599 eV/atom. Its uncorrected formation energy is -1.4977 eV/atom.

---

Entry 5:
Crystalline KCeAg2Br6 at its relaxed geometry. Source: Alexandria, functional PBE.

a b c (Å): 7.710 7.710 8.199
angles (deg): 90.00 118.07 119.99
Site moments in Bohr magnetons follow the coordinates.
Fractional coordinates of all 10 atoms:
K 0.987 0.493 0.466  0.00
Ce 0.005 0.002 0.993  0.99
Ag 0.608 0.804 0.398  0.00
Ag 0.495 0.247 0.727  0.00
Br 0.533 0.927 0.705  0.00
Br 0.456 0.049 0.201  -0.01
Br 0.809 0.759 0.201  -0.01
Br 0.166 0.406 0.201  -0.01
Br 0.793 0.606 0.705  0.00
Br 0.114 0.186 0.705  0.00

Values from the calculation:
Its space group is R3. The total energy is -3.464 eV/atom. Its uncorrected formation energy is -1.1872 eV/atom.

---

Entry 6:
Crystalline K2CeAgBr6 at its relaxed geometry. Source: Alexandria, functional PBE.

a b c (Å): 8.105 8.105 8.105
angles (deg): 60.00 60.00 60.00
Site moments in Bohr magnetons follow the coordinates.
Fractional coordinates of all 10 atoms:
K 0.750 0.750 0.750  0.00
K 0.250 0.250 0.250  0.00
Ce 0.500 0.500 0.500  0.99
Ag 0.000 0.000 0.000  0.00
Br 0.752 0.248 0.248  -0.01
Br 0.248 0.248 0.752  -0.01
Br 0.248 0.752 0.752  -0.01
Br 0.248 0.752 0.248  -0.01
Br 0.752 0.248 0.752  -0.01
Br 0.752 0.752 0.248  -0.01

Values from the calculation:
Its space group is Fm-3m. For the energy above the lowest structure with this stoichiometry, the calculation gives 1.26 kcal/mol of atoms. The total energy is -3.545 eV/atom. Its uncorrected formation energy is -1.4429 eV/atom.

---

Entry 7:
Crystalline K3CeAg2Br9 at its relaxed geometry. Source: Alexandria, functional PBE.

a b c (Å): 7.936 7.936 9.945
angles (deg): 90.00 90.00 120.00
Site moments in Bohr magnetons follow the coordinates.
Fractional coordinates of all 15 atoms:
K 0.333 0.667 0.754  0.00
K 0.000 0.000 0.000  0.00
K 0.667 0.333 0.246  0.00
Ce 0.000 0.000 0.500  0.19
Ag 0.333 0.667 0.157  0.00
Ag 0.667 0.333 0.843  0.00
Br 0.835 0.165 0.667  -0.01
Br 0.835 0.671 0.667  -0.01
Br 0.329 0.165 0.667  -0.01
Br 0.671 0.835 0.333  -0.01
Br 0.165 0.329 0.333  -0.01
Br 0.165 0.835 0.333  -0.01
Br 0.500 0.000 0.000  0.00
Br 0.000 0.500 0.000  0.00
Br 0.500 0.500 0.000  0.00

Values from the calculation:
Its space group is P-3m1. The total energy is -3.287 eV/atom. Its uncorrected formation energy is -1.2882 eV/atom.

---

Entry 8:
Crystalline Li2CeAgBr6 at its relaxed geometry. Source: Alexandria, functional PBE.

a b c (Å): 7.275 7.177 11.375
angles (deg): 90.00 90.96 90.00
Site moments in Bohr magnetons follow the coordinates.
Fractional coordinates of all 20 atoms:
Li 0.035 0.997 0.237  0.00
Li 0.465 0.497 0.263  0.00
Li 0.535 0.503 0.737  0.00
Li 0.965 0.003 0.763  0.00
Ce 0.000 0.500 0.500  0.99
Ce 0.500 0.000 0.000  0.99
Ag 0.000 0.500 0.000  0.00
Ag 0.500 0.000 0.500  0.00
Br 0.866 0.364 0.731  0.00
Br 0.853 0.174 0.065  -0.01
Br 0.850 0.163 0.399  -0.01
Br 0.650 0.663 0.101  -0.01
Br 0.647 0.674 0.435  -0.01
Br 0.634 0.864 0.769  0.00
Br 0.366 0.136 0.231  0.00
Br 0.353 0.326 0.565  -0.01
Br 0.350 0.337 0.899  -0.01
Br 0.147 0.826 0.935  -0.01
Br 0.150 0.837 0.601  -0.01
Br 0.134 0.636 0.269  0.00

Values from the calculation:
Its space group is P2_1/c. The total energy is -3.614 eV/atom. Its uncorrected formation energy is -1.3493 eV/atom.

---

no.,size of the total moment (μB per cell),volume (Å³/cell)
1,0.0,409
2,0.9,295
3,0.2,652
4,2.0,695
5,1.0,354
6,1.0,376
7,0.1,542
8,2.0,594